Below is a geometry-optimized K2FeSi2O6 structure, with properties calculated at the GGA+U level.

- total moment (μB per cell) = 4.00
- uncorrected energy (eV per atom) = -6.450

a b c (Å): 5.742 5.742 6.724
angles (deg): 64.73 64.73 60.00
Element x y z (fractional)
K  0.798  0.798  0.607
K  0.202  0.202  0.393
Fe  0.000  0.000  0.000
Si  0.405  0.405  0.784
Si  0.595  0.595  0.216
O  0.751  0.751  0.224
O  0.274  0.751  0.224
O  0.751  0.274  0.224
O  0.249  0.726  0.776
O  0.726  0.249  0.776
O  0.249  0.249  0.776